[1]
Compound: CrP3O9
Source: Alexandria
Functional: GGA-PBEsol
Structure: relaxed

Cell: 9.369 10.555 11.531 Å, 113.53 109.90 98.27°
Last column: magnetic moment on the atom in μB.
Element x y z (fractional)
O1 0.562 0.972 0.106  0.00
O2 0.585 0.374 0.612  0.01
O3 0.836 0.200 0.328  0.00
O4 0.608 0.302 0.291  0.00
O5 0.712 0.739 0.577  0.00
O6 0.771 0.116 0.043  0.01
O7 0.271 0.969 0.623  0.00
O8 0.326 0.188 0.581  0.00
O9 0.762 0.615 0.810  0.00
O10 0.890 0.260 0.723  0.00
O11 0.922 0.518 0.068  0.01
O12 0.489 0.857 0.659  0.00
O13 0.400 0.332 0.121  0.00
O14 0.666 0.536 0.277  0.00
O15 0.164 0.176 0.718  0.00
O16 0.350 0.958 0.359  0.00
O17 0.811 0.890 0.473  0.00
O18 0.305 0.852 0.779  0.01
O19 0.472 0.762 0.388  0.01
O20 0.779 0.211 0.879  0.00
O21 0.148 0.347 0.377  0.00
O22 0.263 0.844 0.004  0.00
O23 0.008 0.872 0.672  0.00
O24 0.956 0.866 0.894  0.00
O25 0.228 0.073 0.957  0.01
O26 0.502 0.493 0.801  0.00
O27 0.946 0.458 0.282  0.00
O28 0.026 0.073 0.221  0.01
O29 0.089 0.534 0.936  0.00
O30 0.030 0.649 0.739  0.01
O31 0.058 0.004 0.458  0.00
O32 0.448 0.699 0.955  0.00
O33 0.928 0.733 0.320  0.00
O34 0.108 0.414 0.680  0.00
O35 0.330 0.198 0.341  0.00
O36 0.635 0.162 0.423  0.00
O37 0.667 0.330 0.045  0.01
O38 0.791 0.910 0.261  0.01
O39 0.507 0.089 0.853  0.00
O40 0.201 0.692 0.199  0.00
O41 0.453 0.805 0.190  0.00
O42 0.653 0.598 0.064  0.00
O43 0.122 0.286 0.955  0.01
O44 0.099 0.546 0.542  0.00
O45 0.245 0.607 0.419  0.00
O46 0.154 0.236 0.147  0.00
O47 0.993 0.745 0.045  0.00
O48 0.758 0.840 0.996  0.00
O49 0.490 0.599 0.641  0.00
O50 0.838 0.417 0.527  0.00
O51 0.354 0.450 0.932  0.01
O52 0.473 0.488 0.376  0.00
O53 0.817 0.011 0.709  0.00
O54 0.597 0.112 0.624  0.00
P1 0.045 0.610 0.053  0.01
P2 0.212 0.097 0.605  0.01
P3 0.837 0.868 0.608  0.01
P4 0.687 0.188 0.965  0.01
P5 0.867 0.776 0.936  0.01
P6 0.166 0.203 0.272  0.01
P7 0.730 0.261 0.392  0.01
P8 0.107 0.492 0.395  0.01
P9 0.373 0.813 0.295  0.01
P10 0.492 0.557 0.947  0.01
P11 0.221 0.222 0.035  0.01
P12 0.578 0.518 0.705  0.01
P13 0.393 0.930 0.728  0.01
P14 0.430 0.840 0.064  0.01
P15 0.893 0.875 0.368  0.01
P16 0.543 0.428 0.275  0.01
P17 0.024 0.507 0.632  0.01
P18 0.768 0.153 0.725  0.01
Cr1 0.799 0.531 0.176  2.78
Cr2 0.479 0.676 0.510  2.77
Cr3 0.792 0.020 0.160  2.78
Cr4 0.469 0.166 0.490  2.77
Cr5 0.132 0.860 0.840  2.78
Cr6 0.122 0.354 0.824  2.78

Properties
The total magnetic moment is 18.000 μB per cell. Its energy above the most stable polymorph in this dataset is 0.011 eV/atom.

[2]
Compound: CrP3O9
Source: Alexandria
Functional: GGA-PBEsol
Structure: relaxed

Cell: 6.236 8.333 15.286 Å, 90.00 90.00 105.78°
Last column: magnetic moment on the atom in μB.
Element x y z (fractional)
P1 0.205 0.016 0.839  0.01
P2 0.795 0.984 0.161  0.01
P3 0.413 0.209 0.387  0.01
P4 0.413 0.709 0.113  0.01
P5 0.148 0.719 0.956  0.01
P6 0.852 0.781 0.456  0.01
P7 0.205 0.516 0.661  0.01
P8 0.795 0.484 0.339  0.01
P9 0.852 0.281 0.044  0.01
P10 0.587 0.791 0.613  0.01
P11 0.587 0.291 0.887  0.01
P12 0.148 0.219 0.544  0.01
O1 0.535 0.389 0.348  0.01
O2 0.945 0.159 0.488  0.00
O3 0.568 0.600 0.114  0.00
O4 0.945 0.659 0.012  0.00
O5 0.842 0.596 0.425  0.00
O6 0.197 0.644 0.160  0.00
O7 0.170 0.117 0.623  0.00
O8 0.065 0.135 0.847  0.01
O9 0.158 0.904 0.925  0.00
O10 0.629 0.247 0.987  0.01
O11 0.197 0.144 0.340  0.00
O12 0.820 0.597 0.262  0.00
O13 0.371 0.253 0.487  0.01
O14 0.935 0.365 0.347  0.01
O15 0.170 0.617 0.877  0.00
O16 0.432 0.900 0.614  0.00
O17 0.842 0.096 0.075  0.00
O18 0.180 0.903 0.762  0.00
O19 0.465 0.611 0.652  0.01
O20 0.371 0.753 0.013  0.01
O21 0.055 0.841 0.512  0.00
O22 0.830 0.883 0.377  0.00
O23 0.535 0.889 0.152  0.01
O24 0.803 0.856 0.660  0.00
O25 0.820 0.097 0.238  0.00
O26 0.568 0.100 0.386  0.00
O27 0.935 0.865 0.153  0.01
O28 0.803 0.356 0.840  0.00
O29 0.055 0.341 0.988  0.00
O30 0.830 0.383 0.123  0.00
O31 0.432 0.400 0.886  0.00
O32 0.465 0.111 0.848  0.01
O33 0.180 0.403 0.738  0.00
O34 0.065 0.635 0.653  0.01
O35 0.158 0.404 0.575  0.00
O36 0.629 0.747 0.513  0.01
Cr1 0.117 0.876 0.637  2.77
Cr2 0.883 0.124 0.363  2.77
Cr3 0.883 0.624 0.137  2.77
Cr4 0.117 0.376 0.863  2.77

Properties
The total magnetic moment is 12.000 μB per cell. Its energy above the most stable polymorph in this dataset is 0.000 eV/atom.

[3]
Compound: CrPO4
Source: Alexandria
Functional: GGA-PBEsol
Structure: relaxed

Cell: 5.457 6.350 9.096 Å, 72.46 80.74 77.18°
Last column: magnetic moment on the atom in μB.
Element x y z (fractional)
O1 0.102 0.692 0.922  0.01
O2 0.738 0.929 0.049  0.02
O3 0.432 0.179 0.639  -0.01
O4 0.568 0.821 0.361  -0.01
O5 0.640 0.764 0.853  0.01
O6 0.855 0.847 0.547  0.00
O7 0.933 0.051 0.763  -0.01
O8 0.145 0.153 0.453  0.00
O9 0.769 0.468 0.565  0.01
O10 0.067 0.949 0.237  -0.01
O11 0.606 0.241 0.375  -0.01
O12 0.394 0.759 0.625  -0.01
O13 0.360 0.236 0.147  0.01
O14 0.231 0.532 0.435  0.01
O15 0.898 0.308 0.078  0.01
O16 0.262 0.071 0.951  0.02
Cr1 0.796 0.163 0.566  2.83
Cr2 0.204 0.837 0.434  2.83
Cr3 0.698 0.088 0.198  2.75
Cr4 0.302 0.912 0.802  2.75
P1 0.159 0.151 0.093  0.02
P2 0.657 0.712 0.530  0.01
P3 0.841 0.849 0.907  0.02
P4 0.343 0.288 0.470  0.01

Properties
The total magnetic moment is 12.000 μB per cell.

[4]
Compound: CrP3O9
Source: Alexandria
Functional: GGA-PBEsol
Structure: relaxed

Cell: 6.442 7.281 8.271 Å, 73.69 67.08 63.74°
Last column: magnetic moment on the atom in μB.
Element x y z (fractional)
O1 0.643 0.780 0.671  0.00
O2 0.829 0.951 0.333  0.00
O3 0.112 0.549 0.167  0.00
O4 0.527 0.203 0.591  0.01
O5 0.370 0.562 0.322  0.00
O6 0.000 0.000 0.000  0.01
O7 0.630 0.438 0.678  0.00
O8 0.473 0.797 0.409  0.01
O9 0.093 0.720 0.829  0.00
O10 0.171 0.049 0.667  0.00
O11 0.746 0.062 0.822  0.00
O12 0.254 0.938 0.178  0.00
O13 0.888 0.451 0.833  0.00
O14 0.907 0.280 0.171  0.00
O15 0.322 0.297 0.909  0.01
O16 0.000 0.500 0.500  0.01
O17 0.678 0.703 0.091  0.01
O18 0.357 0.220 0.329  0.00
P1 0.457 0.750 0.250  0.01
P2 0.789 0.552 0.679  0.01
P3 0.980 0.052 0.179  0.01
P4 0.020 0.948 0.821  0.01
P5 0.543 0.250 0.750  0.01
P6 0.211 0.448 0.321  0.01
Cr1 0.500 0.000 0.500  2.77
Cr2 0.000 0.500 0.000  2.77

Properties
The total magnetic moment is 6.000 μB per cell. Its energy above the most stable polymorph in this dataset is 0.019 eV/atom.

[5]
Compound: CrP2O7
Source: Alexandria
Functional: GGA-PBEsol
Structure: relaxed

Cell: 4.751 6.898 7.826 Å, 90.00 90.00 105.58°
Last column: magnetic moment on the atom in μB.
Element x y z (fractional)
P1 0.264 0.891 0.768  0.01
P2 0.888 0.503 0.690  0.01
P3 0.112 0.497 0.190  0.01
P4 0.736 0.109 0.268  0.01
O1 0.640 0.452 0.562  -0.03
O2 0.083 0.359 0.685  -0.02
O3 0.355 0.081 0.663  0.00
O4 0.930 0.096 0.423  -0.02
O5 0.360 0.548 0.062  -0.03
O6 0.917 0.641 0.185  -0.02
O7 0.645 0.919 0.163  0.00
O8 0.532 0.824 0.822  -0.01
O9 0.070 0.904 0.923  -0.02
O10 0.468 0.176 0.322  -0.01
O11 0.922 0.276 0.138  0.00
O12 0.216 0.483 0.373  -0.01
O13 0.784 0.517 0.873  -0.01
O14 0.078 0.724 0.638  0.00
Cr1 0.281 0.270 0.505  1.98
Cr2 0.719 0.730 0.005  1.98

Properties
The total magnetic moment is 4.000 μB per cell. Its energy above the most stable polymorph in this dataset is 0.000 eV/atom.

[6]
Compound: CrP2O7
Source: Alexandria
Functional: GGA-PBEsol
Structure: relaxed

Cell: 6.746 7.835 9.240 Å, 90.00 108.37 90.00°
Last column: magnetic moment on the atom in μB.
Element x y z (fractional)
O1 0.606 0.906 0.871  -0.02
O2 0.915 0.827 0.406  -0.02
O3 0.915 0.673 0.906  -0.02
O4 0.891 0.896 0.135  -0.01
O5 0.231 0.882 0.707  0.00
O6 0.531 0.919 0.370  -0.02
O7 0.394 0.094 0.129  -0.02
O8 0.469 0.419 0.130  -0.02
O9 0.482 0.262 0.889  -0.03
O10 0.853 0.554 0.153  -0.02
O11 0.394 0.406 0.629  -0.02
O12 0.147 0.054 0.347  -0.02
O13 0.769 0.118 0.293  0.00
O14 0.518 0.738 0.111  -0.03
O15 0.606 0.594 0.371  -0.02
O16 0.531 0.581 0.870  -0.02
O17 0.109 0.104 0.865  -0.01
O18 0.109 0.396 0.365  -0.01
O19 0.482 0.238 0.389  -0.03
O20 0.085 0.327 0.094  -0.02
O21 0.891 0.604 0.635  -0.01
O22 0.518 0.762 0.611  -0.03
O23 0.231 0.618 0.207  0.00
O24 0.769 0.382 0.793  0.00
O25 0.147 0.446 0.847  -0.02
O26 0.469 0.081 0.630  -0.02
O27 0.853 0.946 0.653  -0.02
O28 0.085 0.173 0.594  -0.02
P1 0.935 0.968 0.295  0.01
P2 0.533 0.092 0.295  0.01
P3 0.065 0.468 0.205  0.01
P4 0.467 0.592 0.205  0.01
P5 0.935 0.532 0.795  0.01
P6 0.065 0.032 0.705  0.01
P7 0.467 0.908 0.705  0.01
P8 0.533 0.408 0.795  0.01
Cr1 0.279 0.228 0.493  1.99
Cr2 0.721 0.772 0.507  1.99
Cr3 0.279 0.272 0.993  1.99
Cr4 0.721 0.728 0.007  1.99

Properties
The total magnetic moment is 8.000 μB per cell. Its energy above the most stable polymorph in this dataset is 0.019 eV/atom.

[7]
Compound: CrPO4
Source: Alexandria
Functional: GGA-PBEsol
Structure: relaxed

Cell: 4.667 4.667 6.124 Å, 90.00 90.00 112.97°
Last column: magnetic moment on the atom in μB.
Element x y z (fractional)
Cr1 0.000 0.000 0.000  2.80
Cr2 0.000 0.000 0.500  2.80
P1 0.349 0.651 0.250  0.02
P2 0.651 0.349 0.750  0.02
O1 0.755 0.245 0.959  0.02
O2 0.245 0.755 0.041  0.02
O3 0.718 0.777 0.250  -0.01
O4 0.223 0.282 0.250  -0.01
O5 0.755 0.245 0.541  0.02
O6 0.777 0.718 0.750  -0.01
O7 0.282 0.223 0.750  -0.01
O8 0.245 0.755 0.459  0.02

Properties
The total magnetic moment is 6.000 μB per cell.

[8]
Compound: CrPO4
Source: Alexandria
Functional: GGA-PBEsol
Structure: relaxed

Cell: 6.294 8.867 8.867 Å, 71.71 69.21 69.21°
Last column: magnetic moment on the atom in μB.
Element x y z (fractional)
Cr1 0.500 0.000 0.000  2.79
Cr2 0.884 0.116 0.616  2.82
Cr3 0.884 0.616 0.116  2.82
Cr4 0.116 0.884 0.384  2.82
Cr5 0.116 0.384 0.884  2.82
Cr6 0.000 0.500 0.500  2.79
P1 0.677 0.323 0.823  0.02
P2 0.323 0.177 0.677  0.02
P3 0.169 0.250 0.250  0.02
P4 0.677 0.823 0.323  0.02
P5 0.831 0.750 0.750  0.02
P6 0.323 0.677 0.177  0.02
O1 0.418 0.860 0.413  0.01
O2 0.191 0.640 0.087  0.01
O3 0.274 0.873 0.148  -0.01
O4 0.582 0.140 0.587  0.01
O5 0.726 0.852 0.127  -0.01
O6 0.726 0.127 0.852  -0.01
O7 0.604 0.850 0.850  0.01
O8 0.205 0.648 0.373  -0.01
O9 0.977 0.626 0.874  0.00
O10 0.274 0.148 0.873  -0.01
O11 0.977 0.874 0.626  0.00
O12 0.582 0.587 0.140  0.01
O13 0.023 0.374 0.126  0.00
O14 0.418 0.413 0.860  0.01
O15 0.804 0.650 0.650  0.01
O16 0.396 0.150 0.150  0.01
O17 0.795 0.627 0.352  -0.01
O18 0.191 0.087 0.640  0.01
O19 0.196 0.350 0.350  0.01
O20 0.809 0.360 0.913  0.01
O21 0.205 0.373 0.648  -0.01
O22 0.809 0.913 0.360  0.01
O23 0.795 0.352 0.627  -0.01
O24 0.023 0.126 0.374  0.00

Properties
The total magnetic moment is 18.000 μB per cell.

[9]
Compound: Cr6P7O24
Source: Alexandria
Functional: GGA-PBEsol
Structure: relaxed

Cell: 5.278 6.316 27.422 Å, 90.00 90.00 106.70°
Last column: magnetic moment on the atom in μB.
Element x y z (fractional)
O1 0.093 0.369 0.405  -0.01
O2 0.085 0.746 0.374  0.00
O3 0.213 0.404 0.536  0.01
O4 0.838 0.011 0.173  0.01
O5 0.907 0.631 0.905  -0.01
O6 0.779 0.381 0.194  0.00
O7 0.393 0.031 0.295  0.01
O8 0.085 0.746 0.126  0.00
O9 0.042 0.759 0.250  -0.01
O10 0.915 0.254 0.874  0.00
O11 0.221 0.619 0.806  0.00
O12 0.626 0.282 0.943  0.01
O13 0.915 0.254 0.626  0.00
O14 0.787 0.596 0.036  0.01
O15 0.779 0.381 0.306  0.00
O16 0.486 0.603 0.142  0.01
O17 0.162 0.989 0.827  0.01
O18 0.838 0.011 0.327  0.01
O19 0.958 0.241 0.750  -0.01
O20 0.514 0.397 0.642  0.01
O21 0.486 0.603 0.358  0.01
O22 0.213 0.404 0.964  0.01
O23 0.607 0.969 0.795  0.01
O24 0.475 0.274 0.750  0.01
O25 0.171 0.007 0.945  -0.01
O26 0.829 0.993 0.445  -0.01
O27 0.525 0.726 0.250  0.01
O28 0.607 0.969 0.705  0.01
O29 0.481 0.838 0.622  0.02
O30 0.409 0.176 0.022  0.01
O31 0.829 0.993 0.055  -0.01
O32 0.591 0.824 0.522  0.01
O33 0.481 0.838 0.878  0.02
O34 0.162 0.989 0.673  0.01
O35 0.519 0.162 0.378  0.02
O36 0.907 0.631 0.595  -0.01
O37 0.409 0.176 0.478  0.01
O38 0.374 0.718 0.443  0.01
O39 0.626 0.282 0.557  0.01
O40 0.093 0.369 0.095  -0.01
O41 0.221 0.619 0.694  0.00
O42 0.787 0.596 0.464  0.01
O43 0.519 0.162 0.122  0.02
O44 0.591 0.824 0.978  0.01
O45 0.514 0.397 0.858  0.01
O46 0.171 0.007 0.555  -0.01
O47 0.393 0.031 0.205  0.01
O48 0.374 0.718 0.057  0.01
Cr1 0.142 0.059 0.102  3.62
Cr2 0.213 0.309 0.813  3.33
Cr3 0.758 0.292 0.054  3.56
Cr4 0.242 0.708 0.554  3.56
Cr5 0.787 0.691 0.187  3.33
Cr6 0.758 0.292 0.446  3.56
Cr7 0.858 0.941 0.602  3.62
Cr8 0.142 0.059 0.398  3.62
Cr9 0.858 0.941 0.898  3.62
Cr10 0.213 0.309 0.687  3.33
Cr11 0.787 0.691 0.313  3.33
Cr12 0.242 0.708 0.946  3.56
P1 0.342 0.221 0.530  0.02
P2 0.263 0.606 0.109  0.02
P3 0.263 0.606 0.391  0.02
P4 0.342 0.221 0.970  0.02
P5 0.737 0.394 0.891  0.02
P6 0.737 0.394 0.609  0.02
P7 0.651 0.157 0.328  0.02
P8 0.651 0.157 0.172  0.02
P9 0.658 0.779 0.470  0.02
P10 0.658 0.779 0.030  0.02
P11 0.349 0.843 0.672  0.02
P12 0.340 0.871 0.250  0.02
P13 0.349 0.843 0.828  0.02
P14 0.660 0.129 0.750  0.02

Properties
The total magnetic moment is 46.000 μB per cell.

Number 1: formation energy from raw total energies -2.111 eV per atom. Number 2: formation energy from raw total energies -2.122 eV per atom. Number 3: formation energy from raw total energies -2.038 eV per atom. Number 4: formation energy from raw total energies -2.104 eV per atom. Number 5: formation energy from raw total energies -2.053 eV per atom. Number 6: formation energy from raw total energies -2.033 eV per atom. Number 7: formation energy from raw total energies -2.079 eV per atom. Number 8: formation energy from raw total energies -2.100 eV per atom. Number 9: formation energy from raw total energies -1.946 eV per atom.